1.
Below is crystalline RbTbPb2Br8 at its relaxed geometry, with properties calculated at the PBE level.

```
data_RbTbPb2Br8
_chemical_formula_sum 'Rb1 Tb1 Pb2 Br8'
_cell_length_a 7.271
_cell_length_b 6.897
_cell_length_c 9.377
_cell_angle_alpha 89.93
_cell_angle_beta 89.97
_cell_angle_gamma 88.96
_space_group_name_H-M_alt 'P 1'
_space_group_IT_number 1
_space_group_name_Hall 'P 1'
loop_
_atom_site_label
_atom_site_fract_x
_atom_site_fract_y
_atom_site_fract_z
_atom_site_occupancy
Br1 0.319 0.240 0.000 1
Br2 0.681 0.760 0.000 1
Br3 0.156 0.759 0.788 1
Br4 0.844 0.241 0.212 1
Br5 0.378 0.269 0.500 1
Br6 0.845 0.242 0.788 1
Br7 0.155 0.758 0.212 1
Br8 0.622 0.731 0.500 1
Tb1 0.000 0.000 0.000 1
Rb1 0.000 0.000 0.500 1
Pb1 0.500 0.500 0.249 1
Pb2 0.500 0.500 0.751 1
```

=====

2.
Below is crystalline RbTePbBr6 at its relaxed geometry, with properties calculated at the PBE level.

```
data_RbTePbBr6
_chemical_formula_sum 'Rb1 Te1 Pb1 Br6'
_cell_length_a 7.709
_cell_length_b 7.681
_cell_length_c 7.556
_cell_angle_alpha 88.35
_cell_angle_beta 91.53
_cell_angle_gamma 62.99
_space_group_name_H-M_alt 'P 1'
_space_group_IT_number 1
_space_group_name_Hall 'P 1'
loop_
_atom_site_label
_atom_site_fract_x
_atom_site_fract_y
_atom_site_fract_z
_atom_site_occupancy
Rb1 0.004 0.004 0.998 1
Br1 0.988 0.640 0.754 1
Br2 0.350 0.615 0.281 1
Br3 0.611 0.353 0.720 1
Br4 0.360 0.019 0.702 1
Br5 0.644 0.991 0.248 1
Br6 0.022 0.358 0.297 1
Pb1 0.685 0.683 0.499 1
Te1 0.335 0.336 0.500 1
```

=====

3.
Below is crystalline RbTePbBr at its relaxed geometry, with properties calculated at the PBE level.

```
data_RbTePbBr
_chemical_formula_sum 'Rb1 Te1 Pb1 Br1'
_cell_length_a 4.660
_cell_length_b 4.660
_cell_length_c 8.918
_cell_angle_alpha 90.00
_cell_angle_beta 105.14
_cell_angle_gamma 120.00
_space_group_name_H-M_alt 'P 1'
_space_group_IT_number 1
_space_group_name_Hall 'P 1'
loop_
_atom_site_label
_atom_site_fract_x
_atom_site_fract_y
_atom_site_fract_z
_atom_site_occupancy
Rb1 0.978 0.387 0.379 1
Te1 0.108 0.952 0.076 1
Br1 0.478 0.137 0.630 1
Pb1 0.314 0.555 0.885 1
```

=====

4.
Below is crystalline Rb2TePbBr6 at its relaxed geometry, with properties calculated at the PBE level.

```
data_Rb2TePbBr6
_chemical_formula_sum 'Rb2 Te1 Pb1 Br6'
_cell_length_a 8.076
_cell_length_b 8.076
_cell_length_c 8.906
_cell_angle_alpha 63.04
_cell_angle_beta 63.04
_cell_angle_gamma 90.00
_space_group_name_H-M_alt 'P 1'
_space_group_IT_number 1
_space_group_name_Hall 'P 1'
loop_
_atom_site_label
_atom_site_fract_x
_atom_site_fract_y
_atom_site_fract_z
_atom_site_occupancy
Pb1 0.000 0.000 0.000 1
Te1 0.500 0.500 0.000 1
Br1 0.260 0.740 0.000 1
Br2 0.740 0.260 0.000 1
Br3 0.740 0.740 0.000 1
Br4 0.783 0.783 0.433 1
Br5 0.217 0.217 0.567 1
Br6 0.260 0.260 0.000 1
Rb1 0.250 0.750 0.500 1
Rb2 0.750 0.250 0.500 1
```

=====

5.
Below is crystalline RbTiPb2Br8 at its relaxed geometry, with properties calculated at the PBE level.

```
data_RbTiPb2Br8
_chemical_formula_sum 'Rb1 Ti1 Pb2 Br8'
_cell_length_a 7.097
_cell_length_b 6.715
_cell_length_c 9.211
_cell_angle_alpha 89.81
_cell_angle_beta 89.97
_cell_angle_gamma 88.40
_space_group_name_H-M_alt 'P 1'
_space_group_IT_number 1
_space_group_name_Hall 'P 1'
loop_
_atom_site_label
_atom_site_fract_x
_atom_site_fract_y
_atom_site_fract_z
_atom_site_occupancy
Br1 0.146 0.769 0.802 1
Br2 0.616 0.734 0.500 1
Br3 0.384 0.266 0.500 1
Br4 0.145 0.767 0.199 1
Br5 0.855 0.233 0.801 1
Br6 0.854 0.231 0.198 1
Br7 0.695 0.781 0.000 1
Br8 0.305 0.219 0.000 1
Rb1 0.000 0.000 0.500 1
Pb1 0.500 0.499 0.758 1
Pb2 0.500 0.501 0.242 1
Ti1 0.000 0.000 0.000 1
```

=====

6.
Below is crystalline RbTlPb2Br8 at its relaxed geometry, with properties calculated at the PBE level.

```
data_RbTlPb2Br8
_chemical_formula_sum 'Rb1 Tl1 Pb2 Br8'
_cell_length_a 7.232
_cell_length_b 6.896
_cell_length_c 9.313
_cell_angle_alpha 89.90
_cell_angle_beta 89.99
_cell_angle_gamma 88.62
_space_group_name_H-M_alt 'P 1'
_space_group_IT_number 1
_space_group_name_Hall 'P 1'
loop_
_atom_site_label
_atom_site_fract_x
_atom_site_fract_y
_atom_site_fract_z
_atom_site_occupancy
Tl1 0.000 0.000 0.000 1
Br1 0.623 0.729 0.500 1
Br2 0.852 0.247 0.789 1
Br3 0.850 0.246 0.210 1
Br4 0.671 0.764 0.000 1
Br5 0.148 0.753 0.211 1
Br6 0.150 0.754 0.790 1
Br7 0.377 0.271 0.500 1
Br8 0.329 0.236 0.000 1
Pb1 0.500 0.499 0.755 1
Pb2 0.500 0.501 0.245 1
Rb1 0.000 0.000 0.500 1
```

=====

no.,electronic total energy (eV per atom),formation energy (no corrections) (meV per atom)
1,-3.5554,-1355.6
2,-2.7710,-787.1
3,-3.3513,-978.7
4,-2.8392,-956.9
5,-3.5626,-1090.8
6,-2.8812,-870.1